[1]
# Gd2ReAg

A geometry-optimized Gd2ReAg structure (PBE, Alexandria via LeMat-Bulk).

Cell lengths 3.4665, 3.4665, 7.6093 Å; angles 90.00, 90.00, 90.00 degrees
Closest atoms and distances in Å follow each position.
Sites, in units of the cell vectors:
1 Gd 0.0000 0.0000 0.2216  4 Re 2.98, 4 Ag 3.24
2 Gd 0.0000 0.0000 0.7784  4 Re 2.98, 4 Ag 3.24
3 Re 0.5000 0.5000 0.0000  8 Gd 2.98
4 Ag 0.5000 0.5000 0.5000  8 Gd 3.24, 4 Ag 3.47

Values from the calculation:
Space-group type   P4/mmm (123)
Energy   -10.908 eV per atom
Calculated volume   91 Å³/f.u.

***

[2]
# GdThReAg

A geometry-optimized GdThReAg structure (PBE, Alexandria via LeMat-Bulk).

Cell lengths 5.0886, 5.0886, 5.0886 Å; angles 60.00, 60.00, 60.00 degrees
Closest atoms and distances in Å follow each position.
Sites, in units of the cell vectors:
1 Gd 0.0000 0.0000 0.0000  4 Re 3.12, 4 Ag 3.12
2 Th 0.5000 0.5000 0.5000  4 Re 3.12, 4 Ag 3.12
3 Re 0.7500 0.7500 0.7500  4 Th 3.12, 4 Gd 3.12
4 Ag 0.2500 0.2500 0.2500  4 Th 3.12, 4 Gd 3.12

Values from the calculation:
Space-group type   F-43m (216)
Energy   -9.186 eV per atom
Calculated volume   93 Å³/f.u.

***

[3]
# GdAgRh2

A geometry-optimized GdAgRh2 structure (PBE, Alexandria via LeMat-Bulk).

Cell lengths 4.2276, 4.2276, 3.9866 Å; angles 90.00, 90.00, 90.00 degrees
Closest atoms and distances in Å follow each position.
Sites, in units of the cell vectors:
1 Gd 0.0000 0.0000 0.0000  8 Rh 2.91, 4 Ag 2.99
2 Ag 0.5000 0.5000 0.0000  8 Rh 2.91, 4 Gd 2.99
3 Rh 0.0000 0.5000 0.5000  4 Ag 2.91, 4 Gd 2.91, 4 Rh 2.99
4 Rh 0.5000 0.0000 0.5000  4 Ag 2.91, 4 Gd 2.91, 4 Rh 2.99

Values from the calculation:
Space-group type   P4/mmm (123)
Energy   -8.292 eV per atom
Calculated volume   71 Å³/f.u.

***

[4]
# GdAgRh4

A geometry-optimized GdAgRh4 structure (PBE, Alexandria via LeMat-Bulk).

Cell lengths 5.2725, 5.2725, 5.2725 Å; angles 60.00, 60.00, 60.00 degrees
Closest atoms and distances in Å follow each position.
Sites, in units of the cell vectors:
1 Gd 0.0000 0.0000 0.0000  12 Rh 3.09, 4 Ag 3.23
2 Ag 0.7500 0.7500 0.7500  12 Rh 3.09, 4 Gd 3.23
3 Rh 0.3753 0.3753 0.3753  6 Rh 2.63-2.64
4 Rh 0.3753 0.3753 0.8741  6 Rh 2.63-2.64
5 Rh 0.3753 0.8741 0.3753  6 Rh 2.63-2.64
6 Rh 0.8741 0.3753 0.3753  6 Rh 2.63-2.64

Values from the calculation:
Space-group type   F-43m (216)
Energy   -8.018 eV per atom
Calculated volume   104 Å³/f.u.

***

[5]
# GdAg2Rh

A geometry-optimized GdAg2Rh structure (PBE, Alexandria via LeMat-Bulk).

Cell lengths 4.0289, 4.0289, 4.6900 Å; angles 90.00, 90.00, 90.00 degrees
Closest atoms and distances in Å follow each position.
Sites, in units of the cell vectors:
1 Gd 0.0000 0.0000 0.0000  4 Rh 2.85, 8 Ag 3.09
2 Ag 0.0000 0.5000 0.5000  4 Ag 2.85, 4 Rh 3.09, 4 Gd 3.09
3 Ag 0.5000 0.0000 0.5000  4 Ag 2.85, 4 Rh 3.09, 4 Gd 3.09
4 Rh 0.5000 0.5000 0.0000  4 Gd 2.85, 8 Ag 3.09

Values from the calculation:
Space-group type   P4/mmm (123)
Energy   -7.145 eV per atom
Calculated volume   76 Å³/f.u.

***

[6]
# GdAg4Rh

A geometry-optimized GdAg4Rh structure (PBE, Alexandria via LeMat-Bulk).

Cell lengths 5.4618, 5.4618, 5.4618 Å; angles 60.00, 60.00, 60.00 degrees
Closest atoms and distances in Å follow each position.
Sites, in units of the cell vectors:
1 Gd 0.0000 0.0000 0.0000  12 Ag 3.20, 4 Rh 3.34
2 Ag 0.3755 0.3755 0.3755  6 Ag 2.72-2.74
3 Ag 0.3755 0.3755 0.8735  6 Ag 2.72-2.74
4 Ag 0.3755 0.8735 0.3755  6 Ag 2.72-2.74
5 Ag 0.8735 0.3755 0.3755  6 Ag 2.72-2.74
6 Rh 0.7500 0.7500 0.7500  12 Ag 3.20, 4 Gd 3.34

Values from the calculation:
Space-group type   F-43m (216)
Energy   -5.549 eV per atom
Calculated volume   115 Å³/f.u.

***

[7]
# GdScAgRh

A geometry-optimized GdScAgRh structure (PBE, Alexandria via LeMat-Bulk).

Cell lengths 4.8858, 4.8858, 4.8858 Å; angles 60.00, 60.00, 60.00 degrees
Closest atoms and distances in Å follow each position.
Sites, in units of the cell vectors:
1 Gd 0.0000 0.0000 0.0000  4 Rh 2.99, 4 Ag 2.99
2 Sc 0.5000 0.5000 0.5000  4 Rh 2.99, 4 Ag 2.99
3 Ag 0.7500 0.7500 0.7500  4 Gd 2.99, 4 Sc 2.99
4 Rh 0.2500 0.2500 0.2500  4 Gd 2.99, 4 Sc 2.99

Values from the calculation:
Space-group type   F-43m (216)
Energy   -8.176 eV per atom
Calculated volume   82 Å³/f.u.

***

[8]
# GdAgSnRh

A geometry-optimized GdAgSnRh structure (PBE, Alexandria via LeMat-Bulk).

Cell lengths 4.8607, 4.8607, 4.8607 Å; angles 60.00, 60.00, 60.00 degrees
Closest atoms and distances in Å follow each position.
Sites, in units of the cell vectors:
1 Gd 0.0000 0.0000 0.0000  4 Ag 2.98, 4 Rh 2.98
2 Ag 0.7500 0.7500 0.7500  4 Sn 2.98, 4 Gd 2.98
3 Sn 0.5000 0.5000 0.5000  4 Rh 2.98, 4 Ag 2.98
4 Rh 0.2500 0.2500 0.2500  4 Sn 2.98, 4 Gd 2.98

Values from the calculation:
Space-group type   F-43m (216)
Energy   -7.566 eV per atom
Calculated volume   81 Å³/f.u.

***

| no. | E_form (meV/atom) | Fermi-level density of states (states/eV/cell) |
| --- | --- | --- |
| 1 | -42.8 | 2.15 |
| 2 | 14.2 | 2.40 |
| 3 | -383.2 | 5.33 |
| 4 | -294.9 | 7.62 |
| 5 | -361.4 | 0.90 |
| 6 | -75.8 | 2.12 |
| 7 | -522.6 | 3.61 |
| 8 | -494.0 | 2.94 |